Sm4Ho2Th: optimized geometry, PBE.

a b c (Å): 3.6095 3.6097 20.5177
angles (deg): 95.17 90.00 120.00
With the nearest neighbours (Å) after each atom.
Fractional coordinates of all 7 atoms:
Sm  0.9096  0.8192  0.9568  3 Ho 3.53-3.55, 9 Sm 3.61-3.67
Sm  0.4278  0.8556  0.5216  3 Ho 3.56-3.58, 3 Th 3.61, 6 Sm 3.61
Sm  0.9998  0.9995  0.2378  6 Ho 3.54-3.58, 6 Sm 3.61
Sm  0.5238  0.0476  0.8094  3 Th 3.59-3.60, 9 Sm 3.61-3.67
Ho  0.6205  0.2409  0.0969  6 Sm 3.53-3.55, 6 Ho 3.61
Ho  0.7102  0.4204  0.3794  6 Sm 3.56-3.58, 6 Ho 3.61
Th  0.8098  0.6196  0.6661  6 Sm 3.59-3.61, 6 Th 3.61

Output
* energy above the most stable polymorph in this dataset: 0.000 eV/atom
* ΔH_f (0 K): 0.035 eV per atom
* spin magnetization: 0.000 μB per cell
* symmetry: Cm (8)